<i>
## PmInRh (PBE)

Data for crystalline PmInRh at its relaxed geometry.

abc: 4.6819 4.6819 3.6721
angles: 90.00 90.00 120.00
Space group P-6m2 (No. 187)
Symmetry-distinct sites (fractional):
Pm1 0.0000 0.0000 0.0000 x1
In1 0.6667 0.3333 0.5000 x1
Rh1 0.3333 0.6667 0.5000 x1

## Properties
Theoretical density: 8.640 g cm⁻³
Crystal system: hexagonal


<ii>
## PmInRh (PBE)

Data for crystalline PmInRh at its relaxed geometry.

abc: 3.9565 3.9565 21.0392
angles: 90.00 90.00 90.00
Space group I4/mmm (No. 139)
Symmetry-distinct sites (fractional):
Pm1 0.0000 0.0000 0.1689 x4
In1 0.0000 0.0000 0.4334 x4
Rh1 0.0000 0.0000 0.3067 x4

## Properties
Theoretical density: 7.315 g cm⁻³
Crystal system: tetragonal


<iii>
## PmInRh (PBE)

Data for crystalline PmInRh at its relaxed geometry.

abc: 7.5369 4.9308 7.4090
angles: 90.00 90.00 90.00
Space group Pnma (No. 62)
Symmetry-distinct sites (fractional):
Pm1 0.0318 0.2500 0.1957 x4
In1 0.1975 0.2500 0.6097 x4
Rh1 0.1609 0.7500 0.4465 x4

## Properties
Theoretical density: 8.750 g cm⁻³
Crystal system: orthorhombic


What should be chosen as the most stable of them? Choose <iii>.


<i>
## Pm2In3Rh2 (PBE)

Data for crystalline Pm2In3Rh2 at its relaxed geometry.

abc: 10.2881 4.4371 7.5332
angles: 90.00 112.16 90.00
Space group C2/m (No. 12)
Symmetry-distinct sites (fractional):
Pm1 0.1463 0.0000 0.2862 x4
In1 0.0000 0.5000 0.5000 x2
In2 0.1320 0.5000 0.9468 x4
Rh1 0.1421 0.0000 0.6969 x4

## Properties
Theoretical density: 8.762 g cm⁻³
Crystal system: monoclinic


<ii>
## Pm2In3Rh2 (PBE)

Data for crystalline Pm2In3Rh2 at its relaxed geometry.

abc: 10.5497 4.4264 7.0923
angles: 90.00 100.73 90.00
Space group C2/m (No. 12)
Symmetry-distinct sites (fractional):
Pm1 0.1221 0.0000 0.3607 x4
In1 0.0000 0.5000 0.0000 x2
In2 0.1975 0.0000 0.8579 x4
Rh1 0.0963 0.5000 0.6545 x4

## Properties
Theoretical density: 8.576 g cm⁻³
Crystal system: monoclinic


What should be chosen as the most stable of them? Choose <i>.


<i>
## Pm2InRh3 (PBE)

Data for crystalline Pm2InRh3 at its relaxed geometry.

abc: 5.7494 5.7494 12.6226
angles: 90.00 90.00 120.00
Space group R-3m (No. 166, hexagonal axes)
Symmetry-distinct sites (fractional):
Pm1 0.0000 0.0000 0.1290 x6
In1 0.0000 0.0000 0.5000 x3
Rh1 0.0000 0.5000 0.0000 x9

## Properties
Theoretical density: 9.837 g cm⁻³
Crystal system: trigonal


<ii>
## Pm2InRh3 (PBE)

Data for crystalline Pm2InRh3 at its relaxed geometry.

abc: 4.6884 5.5212 10.0441
angles: 90.00 90.00 90.00
Space group Immm (No. 71)
Symmetry-distinct sites (fractional):
Pm1 0.0000 0.0000 0.1794 x4
In1 0.0000 0.0000 0.5000 x2
Rh1 0.0000 0.5000 0.1387 x4
Rh2 0.0000 0.5000 0.5000 x2

## Properties
Theoretical density: 9.114 g cm⁻³
Crystal system: orthorhombic


What should be chosen as the most stable of them? Choose <i>.


<i>
## Pm3InRh (PBE)

Data for crystalline Pm3InRh at its relaxed geometry.

abc: 5.4388 5.4388 5.4388
angles: 90.00 90.00 90.00
Space group Pm-3m (No. 221)
Symmetry-distinct sites (fractional):
Pm1 0.0000 0.0000 0.5000 x3
In1 0.5000 0.5000 0.5000 x1
Rh1 0.0000 0.0000 0.0000 x1

## Properties
Theoretical density: 6.737 g cm⁻³
Crystal system: cubic


<ii>
## Pm3InRh (PBE)

Data for crystalline Pm3InRh at its relaxed geometry.

abc: 9.8644 6.9056 9.3195
angles: 90.00 119.54 90.00
Space group C2/m (No. 12)
Symmetry-distinct sites (fractional):
Pm1 0.0652 0.0000 0.2639 x4
Pm2 0.1952 0.5000 0.8978 x4
Pm3 0.1989 0.5000 0.2987 x4
In1 0.0000 0.2968 0.5000 x4
Rh1 0.0000 0.2688 0.0000 x4

## Properties
Theoretical density: 7.850 g cm⁻³
Crystal system: monoclinic


What should be chosen as the most stable of them? Choose <ii>.